DFT (PBE) results for an optimized crystal structure of CsHf3Ir.

a b c (Å): 5.0870 5.0870 5.0870
angles (deg): 90.00 90.00 90.00
Last column: nearest neighbours and their distance in Å.
Sites, in units of the cell vectors:
Cs 0.0000 0.0000 0.0000  6 Hf 2.54
Ir 0.5000 0.5000 0.5000  12 Hf 3.60
Hf 0.0000 0.5000 0.0000  2 Cs 2.54
Hf 0.0000 0.0000 0.5000  2 Cs 2.54
Hf 0.5000 0.0000 0.0000  2 Cs 2.54

The calculation puts the total DFT energy (no corrections) at -5.31 eV/atom. The value obtained for the density is 10.86 Mg/m³. Its energy relative to the lowest polymorph listed for this composition is 2101 meV/atom. As for the space group: No. 221.